The following is a DFT calculation (PBE) of an optimized crystal structure of LiHfPt.

Cell lengths 3.7606, 3.7606, 7.5931 Å; angles 90.00, 90.00, 90.00 degrees
With the nearest neighbours (Å) after each atom.
Element x y z (fractional)
Li1 0.2500 0.7500 0.0000  4 Li 2.66, 4 Pt 2.84
Li2 0.7500 0.2500 0.0000  4 Li 2.66, 4 Pt 2.84
Hf1 0.2500 0.2500 0.3529  5 Pt 2.72-2.78
Hf2 0.7500 0.7500 0.6471  5 Pt 2.72-2.78
Pt1 0.2500 0.2500 0.7193  5 Hf 2.72-2.78, 4 Li 2.84
Pt2 0.7500 0.7500 0.2807  5 Hf 2.72-2.78, 4 Li 2.84

Computed properties:
calculated formation energy	-0.736	eV per atom
total energy	-6.705	eV/atom
excess energy over the best structure of this formula in the dataset	0.0	meV per atom